No. 1
A plane-wave DFT calculation with PBE was carried out for crystalline Bi3HPd6 at its relaxed geometry.

Lattice parameters (Å, degrees): 10.1166 13.5842 5.2635 90.00 90.00 90.00
Space group Cmc2_1 (No. 36)
Asymmetric unit:
Bi 0.0000 0.1423 0.0000 (multiplicity 4)
Bi 0.1735 0.3898 0.2550 (multiplicity 8)
H 0.0000 0.3179 0.7215 (multiplicity 4)
Pd 0.0000 0.2218 0.4950 (multiplicity 4)
Pd 0.0000 0.4426 0.8096 (multiplicity 4)
Pd 0.1382 0.0344 0.4108 (multiplicity 8)
Pd 0.2227 0.3026 0.7471 (multiplicity 8)

Properties
Total energy: -4.8043 eV/atom
Calculated volume: 18.1 A^3/atom

No. 2
A plane-wave DFT calculation with PBE was carried out for crystalline CdInP2 at its relaxed geometry.

Lattice parameters (Å, degrees): 3.8923 3.8923 5.4855 90.00 90.00 90.00
Space group P4/mmm (No. 123)
Asymmetric unit:
Cd 0.0000 0.0000 0.0000 (multiplicity 1)
In 0.5000 0.5000 0.5000 (multiplicity 1)
P 0.0000 0.0000 0.5000 (multiplicity 1)
P 0.5000 0.5000 0.0000 (multiplicity 1)

Properties
Total energy: -3.4729 eV/atom
Calculated volume: 20.8 A^3/atom

No. 3
A plane-wave DFT calculation with PBE was carried out for crystalline BaAl2Hg at its relaxed geometry.

Lattice parameters (Å, degrees): 4.5731 4.5731 18.7885 90.00 90.00 120.00
Space group R-3m (No. 166, hexagonal axes)
Asymmetric unit:
Ba 0.0000 0.0000 0.0000 (multiplicity 3)
Al 0.0000 0.0000 0.2082 (multiplicity 6)
Hg 0.0000 0.0000 0.5000 (multiplicity 3)

Properties
Total energy: -2.6001 eV/atom
Calculated volume: 28.4 A^3/atom

No. 4
A plane-wave DFT calculation with PBE was carried out for crystalline BaCaAsF at its relaxed geometry.

Lattice parameters (Å, degrees): 4.7606 4.7606 9.7255 90.00 90.00 90.00
Space group P4/nmm (No. 129, origin choice 2)
Asymmetric unit:
Ba 0.2500 0.2500 0.1351 (multiplicity 2)
Ca 0.2500 0.7500 0.5000 (multiplicity 2)
As 0.2500 0.2500 0.6766 (multiplicity 2)
F 0.2500 0.7500 0.0000 (multiplicity 2)

Properties
Formation energy (no corrections): -48.948 kcal/mol of atoms
Calculated volume: 27.6 A^3/atom